TiFeCoAs | PBE | relaxed

abc: 4.128 4.128 4.128
angles: 60.00 60.00 60.00
Last column: magnetic moment on the atom in μB.
Fractional positions:
Ti: 0.500 0.500 0.500  -0.21
Fe: 0.250 0.250 0.250  1.20
Co: 0.750 0.750 0.750  1.04
As: 0.000 0.000 0.000  0.04

Final energy = -7.390 eV/atom
E_form = -0.3621 eV per atom
Space-group type = No. 216